[1]
# LiZn2AgAu4 GGA-PBE relaxed
data_LiZn2AgAu4
_space_group_name_H-M_alt 'P 4/m m m'
_space_group_IT_number 123
_space_group_name_Hall '-P 4 2'
_cell_length_a 4.403
_cell_length_b 4.403
_cell_length_c 6.744
_cell_angle_alpha 90.00
_cell_angle_beta 90.00
_cell_angle_gamma 90.00
loop_
_atom_site_label
_atom_site_fract_x
_atom_site_fract_y
_atom_site_fract_z
Li1 0.000 0.000 0.000
Zn1 0.000 0.000 0.500
Zn2 0.500 0.500 0.000
Ag1 0.500 0.500 0.500
Au1 0.000 0.500 0.234
# Crystal system: tetragonal
# Calculated total energy in eV for the cell shown: -22.5

---

[2]
# ZrTe GGA-PBE relaxed
data_ZrTe
_space_group_name_H-M_alt 'P -6 m 2'
_space_group_IT_number 187
_space_group_name_Hall 'P -6 2'
_cell_length_a 6.3516
_cell_length_b 6.3516
_cell_length_c 5.4980
_cell_angle_alpha 90.00
_cell_angle_beta 90.00
_cell_angle_gamma 120.00
loop_
_atom_site_label
_atom_site_fract_x
_atom_site_fract_y
_atom_site_fract_z
Zr1 0.0000 0.0000 0.0000
Zr2 0.1662 0.3324 0.5000
Te1 0.0063 0.5031 0.0000
Te2 0.6667 0.3333 0.5000
# Crystal system: hexagonal
# Calculated total energy in eV for the cell shown: -48.2

---

[3]
# PrZn2 GGA-PBE relaxed
data_PrZn2
_space_group_name_H-M_alt 'P m m n'
_space_group_IT_number 59
_cell_length_a 4.768
_cell_length_b 10.822
_cell_length_c 5.040
_cell_angle_alpha 90.00
_cell_angle_beta 90.00
_cell_angle_gamma 90.00
loop_
_space_group_symop_operation_xyz
'x,y,z'
'-x,-y,-z'
'-x+1/2,-y+1/2,z'
'x+1/2,y+1/2,-z'
'x+1/2,-y,-z'
'-x+1/2,y,z'
'-x,y+1/2,-z'
'x,-y+1/2,z'
loop_
_atom_site_label
_atom_site_fract_x
_atom_site_fract_y
_atom_site_fract_z
Pr1 0.250 0.078 0.137
Zn1 0.250 0.250 0.642
Zn2 0.250 0.630 0.532
Zn3 0.250 0.750 0.052
# Calculated formation energy in meV per atom: -97
# Crystal system: orthorhombic

---

[4]
# AcErHg GGA-PBE relaxed
data_AcErHg
_space_group_name_H-M_alt 'F -4 3 m'
_space_group_IT_number 216
_space_group_name_Hall 'F -4 2 3'
_cell_length_a 7.536
_cell_length_b 7.536
_cell_length_c 7.536
_cell_angle_alpha 90.00
_cell_angle_beta 90.00
_cell_angle_gamma 90.00
loop_
_atom_site_label
_atom_site_fract_x
_atom_site_fract_y
_atom_site_fract_z
Ac1 0.000 0.000 0.000
Er1 0.000 0.000 0.500
Hg1 0.250 0.250 0.250
# Calculated formation energy in meV per atom: -67
# Energy relative to the lowest polymorph listed for this composition in meV/atom: 0
# Crystal system: cubic

---

[5]
# DyErNi2Sn GGA-PBE relaxed
data_DyErNi2Sn
_space_group_name_H-M_alt 'A m m 2'
_space_group_IT_number 38
_space_group_name_Hall 'A 2 -2'
_cell_length_a 3.605
_cell_length_b 3.977
_cell_length_c 13.802
_cell_angle_alpha 90.00
_cell_angle_beta 90.00
_cell_angle_gamma 90.00
loop_
_atom_site_label
_atom_site_fract_x
_atom_site_fract_y
_atom_site_fract_z
Dy1 0.000 0.000 0.000
Er1 0.000 0.000 0.274
Ni1 0.500 0.000 0.439
Ni2 0.500 0.000 0.835
Sn1 0.500 0.000 0.637
# Crystal system: orthorhombic
# Calculated total energy in eV for the cell shown: -54.8

---

[6]
# SmCd2In2 GGA-PBE relaxed
data_SmCd2In2
_space_group_name_H-M_alt 'P -1'
_space_group_IT_number 2
_space_group_name_Hall '-P 1'
_cell_length_a 4.975
_cell_length_b 5.063
_cell_length_c 6.211
_cell_angle_alpha 82.10
_cell_angle_beta 71.57
_cell_angle_gamma 60.66
loop_
_atom_site_label
_atom_site_fract_x
_atom_site_fract_y
_atom_site_fract_z
Sm1 0.000 0.000 0.000
Cd1 0.220 0.346 0.272
In1 0.462 0.305 0.705
# Crystal system: triclinic
# Calculated total energy in eV for the cell shown: -13.2

---

[7]
# HoEr2Ag4Sn4 GGA-PBE relaxed
data_HoEr2Ag4Sn4
_space_group_name_H-M_alt 'I m m m'
_space_group_IT_number 71
_space_group_name_Hall '-I 2 2'
_cell_length_a 4.539
_cell_length_b 7.338
_cell_length_c 15.201
_cell_angle_alpha 90.00
_cell_angle_beta 90.00
_cell_angle_gamma 90.00
loop_
_atom_site_label
_atom_site_fract_x
_atom_site_fract_y
_atom_site_fract_z
Ho1 0.000 0.000 0.000
Er1 0.000 0.500 0.127
Ag1 0.000 0.300 0.328
Sn1 0.000 0.000 0.214
Sn2 0.000 0.197 0.500
# Crystal system: orthorhombic
# Calculated total energy in eV for the cell shown: -92.1

---

[8]
# PmHfPO GGA-PBE relaxed
data_PmHfPO
_space_group_name_H-M_alt 'P m m a'
_space_group_IT_number 51
_space_group_name_Hall '-P 2a 2a'
_cell_length_a 5.153
_cell_length_b 3.992
_cell_length_c 7.618
_cell_angle_alpha 90.00
_cell_angle_beta 90.00
_cell_angle_gamma 90.00
loop_
_atom_site_label
_atom_site_fract_x
_atom_site_fract_y
_atom_site_fract_z
Pm1 0.250 0.000 0.134
Hf1 0.250 0.500 0.718
P1 0.250 0.500 0.381
O1 0.250 0.000 0.809
# Energy relative to the lowest polymorph listed for this composition in meV/atom: 174
# Crystal system: orthorhombic

---

[9]
# CuW3S5 GGA-PBE relaxed
data_CuW3S5
_space_group_name_H-M_alt 'P 6/m m m'
_space_group_IT_number 191
_space_group_name_Hall '-P 6 2'
_cell_length_a 5.5154
_cell_length_b 5.5154
_cell_length_c 6.9266
_cell_angle_alpha 90.00
_cell_angle_beta 90.00
_cell_angle_gamma 120.00
loop_
_atom_site_label
_atom_site_fract_x
_atom_site_fract_y
_atom_site_fract_z
Cu1 0.0000 0.0000 0.0000
W1 0.0000 0.5000 0.5000
S1 0.0000 0.0000 0.5000
S2 0.3333 0.6667 0.2322
# Crystal system: hexagonal
# Calculated total energy in eV for the cell shown: -61.1

---

[10]
# RbZrB GGA-PBE relaxed
data_RbZrB
_space_group_name_H-M_alt 'F -4 3 m'
_space_group_IT_number 216
_space_group_name_Hall 'F -4 2 3'
_cell_length_a 6.421
_cell_length_b 6.421
_cell_length_c 6.421
_cell_angle_alpha 90.00
_cell_angle_beta 90.00
_cell_angle_gamma 90.00
loop_
_atom_site_label
_atom_site_fract_x
_atom_site_fract_y
_atom_site_fract_z
Rb1 0.000 0.000 0.000
Zr1 0.250 0.250 0.250
B1 0.250 0.250 0.750
# Energy relative to the lowest polymorph listed for this composition in meV/atom: 854
# Crystal system: cubic

---

[11]
# Lu2AgS3 GGA-PBE relaxed
data_Lu2AgS3
_space_group_name_H-M_alt 'P n m a'
_space_group_IT_number 62
_space_group_name_Hall '-P 2ac 2n'
_cell_length_a 8.558
_cell_length_b 3.697
_cell_length_c 15.219
_cell_angle_alpha 90.00
_cell_angle_beta 90.00
_cell_angle_gamma 90.00
loop_
_atom_site_label
_atom_site_fract_x
_atom_site_fract_y
_atom_site_fract_z
Lu1 0.126 0.250 0.211
Lu2 0.164 0.250 0.942
Ag1 0.056 0.250 0.569
S1 0.112 0.250 0.764
S2 0.138 0.250 0.385
S3 0.148 0.750 0.075
# Energy relative to the lowest polymorph listed for this composition in meV/atom: 0
# Crystal system: orthorhombic

---

[12]
# Co2Si3 GGA-PBE relaxed
data_Co2Si3
_space_group_name_H-M_alt 'P -4 c 2'
_space_group_IT_number 116
_space_group_name_Hall 'P -4 -2c'
_cell_length_a 5.353
_cell_length_b 5.353
_cell_length_c 8.427
_cell_angle_alpha 90.00
_cell_angle_beta 90.00
_cell_angle_gamma 90.00
loop_
_atom_site_label
_atom_site_fract_x
_atom_site_fract_y
_atom_site_fract_z
Co1 0.000 0.000 0.000
Co2 0.000 0.500 0.370
Co3 0.500 0.500 0.250
Si1 0.171 0.171 0.250
Si2 0.205 0.348 0.591
# Crystal system: tetragonal
# Calculated total energy in eV for the cell shown: -128.5